Below is a geometry-optimized Tb2MnCuO6 structure, with properties calculated at the PBE+U level.

It has space group P2_1/c (No. 14), with a = 5.3175 Å, b = 5.7766 Å, c = 9.0705 Å, α = 90.00°, β = 125.40° and γ = 90.00°. The distinct sites, in fractional coordinates, are Tb at (0.2297, 0.0796, 0.2496), Mn at (0.5000, 0.0000, 0.0000), Cu at (0.0000, 0.0000, 0.5000), O at (0.1508, 0.1747, 0.9479), O at (0.2683, 0.7060, 0.9457) and O at (0.3587, 0.0367, 0.7495).

Its total moment is 0.4024 μB/atom. For the total DFT energy (no corrections), the calculation gives -7.374 eV/atom. Its crystal system is monoclinic.